(1)
Entry from Alexandria via LeMat-Bulk: a relaxed Ca2ZnCl crystal (PBE).

Cell and atoms, written as POSCAR:
```
Ca2ZnCl
1.0
0.000 3.776 3.776
3.776 0.000 3.776
3.776 3.776 0.000
Cl Ca Zn
1 2 1
direct
0.000 0.000 0.000
0.750 0.750 0.750
0.250 0.250 0.250
0.500 0.500 0.500
```

Calculated values
Density = 2.79 g/cm3
Offset from the most stable computed form = 332 meV per atom
Formation energy from raw total energies = -55.9 kJ/mol of atoms
Space-group type = Fm-3m, No. 225

=====

(2)
Entry from Alexandria via LeMat-Bulk: a relaxed Dy2SiRh crystal (PBE).

Cell and atoms, written as POSCAR:
```
Dy2SiRh
1.0
4.027 0.000 0.000
0.000 3.857 -1.462
0.000 -0.066 5.645
Rh Dy Si
1 2 1
direct
0.000 0.699 0.399
0.500 0.264 0.528
0.000 0.982 0.964
0.500 0.554 0.108
```

Calculated values
Density = 8.68 g/cm3
Formation energy from raw total energies = -82.3 kJ/mol of atoms
Space-group type = Amm2, No. 38

=====

(3)
Entry from Alexandria via LeMat-Bulk: a relaxed HoOF crystal (PBE).

Cell and atoms, written as POSCAR:
```
HoOF
1.0
3.210 -0.082 -0.588
-0.023 3.213 -0.576
0.801 0.768 4.220
F O Ho
1 1 1
direct
0.886 0.457 0.037
0.387 0.955 0.537
0.887 0.455 0.537
```

Calculated values
Density = 7.14 g/cm3
Formation energy from raw total energies = -354.0 kJ/mol of atoms
Space-group type = C2, No. 5